(1)
! Pm2BePd (PBE, relaxed); values from VASP
&SYSTEM
  ibrav = 0, nat = 4, ntyp = 3
/
ATOMIC_SPECIES
Be 9.01 Be.upf
Pd 106.42 Pd.upf
Pm 145.00 Pm.upf
ATOMIC_POSITIONS crystal
Be 0.5000 0.5000 0.5000
Pd 0.0000 0.0000 0.0000
Pm 0.2500 0.2500 0.2500
Pm 0.7500 0.7500 0.7500
CELL_PARAMETERS angstrom
5.0527 0.0000 0.0000
2.5263 4.3758 0.0000
2.5263 1.4586 4.1255
! Energy of formation = -5.8 kcal/mol of atoms
! Volume = 22.80 A^3/atom

(2)
! B5C (PBE, relaxed); values from VASP
&SYSTEM
  ibrav = 0, nat = 12, ntyp = 2
/
ATOMIC_SPECIES
B 10.81 B.upf
C 12.01 C.upf
ATOMIC_POSITIONS crystal
B 0.4820 0.4820 0.3612
B 0.2888 0.2888 0.1528
B 0.1621 0.1621 0.2352
B 0.0166 0.0166 0.0144
B 0.8307 0.8307 0.0437
B 0.6693 0.6693 0.8313
B 0.4834 0.4834 0.8606
B 0.3379 0.3379 0.6398
B 0.2112 0.2112 0.7222
B 0.0180 0.0180 0.5138
C 0.6614 0.6614 0.3518
C 0.8386 0.8386 0.5232
CELL_PARAMETERS angstrom
3.6948 0.0246 -2.5116
2.9706 2.1972 -2.5116
0.0215 0.0072 9.9906
! Energy of formation = 9.6 kcal/mol of atoms
! Volume = 6.71 A^3/atom

(3)
! Pu4SnBi (PBE, relaxed); values from VASP
&SYSTEM
  ibrav = 0, nat = 6, ntyp = 3
/
ATOMIC_SPECIES
Pu 244.00 Pu.upf
Sn 118.71 Sn.upf
Bi 208.98 Bi.upf
ATOMIC_POSITIONS crystal
Pu 0.7519 0.5814 0.9148
Pu 0.7519 0.9148 0.5814
Pu 0.2480 0.4186 0.0852
Pu 0.2480 0.0852 0.4186
Sn 0.5000 0.5000 0.5000
Bi 0.0000 0.0000 0.0000
CELL_PARAMETERS angstrom
-1.6927 3.3761 -3.5709
-6.1626 0.7973 -0.1078
1.0506 5.9715 1.3649
! Energy of formation = -2.6 kcal/mol of atoms
! Volume = 26.58 A^3/atom

(4)
! Pm6SnPb (PBE, relaxed); values from VASP
&SYSTEM
  ibrav = 0, nat = 8, ntyp = 3
/
ATOMIC_SPECIES
Pm 145.00 Pm.upf
Sn 118.71 Sn.upf
Pb 207.20 Pb.upf
ATOMIC_POSITIONS crystal
Pm 0.5000 0.5000 0.0000
Pm 0.5000 0.5000 0.5000
Pm 0.5000 0.0000 0.2533
Pm 0.5000 0.0000 0.7467
Pm 0.0000 0.5000 0.2533
Pm 0.0000 0.5000 0.7467
Sn 0.0000 0.0000 0.5000
Pb 0.0000 0.0000 0.0000
CELL_PARAMETERS angstrom
-0.2482 2.5589 -4.2201
-2.0032 -3.9139 -2.2554
-9.0185 3.1940 2.4671
! Energy of formation = -9.0 kcal/mol of atoms
! Volume = 30.16 A^3/atom

(5)
! Li2CdSb (PBE, relaxed); values from VASP
&SYSTEM
  ibrav = 0, nat = 4, ntyp = 3
/
ATOMIC_SPECIES
Cd 112.41 Cd.upf
Li 6.94 Li.upf
Sb 121.76 Sb.upf
ATOMIC_POSITIONS crystal
Cd 0.2549 0.2549 0.2027
Li 0.9973 0.9973 0.0313
Li 0.7548 0.7548 0.7246
Sb 0.4930 0.4930 0.5414
CELL_PARAMETERS angstrom
-2.8274 2.3054 -3.9757
-3.6845 -0.7788 -3.8643
-3.9981 1.2137 2.8430
! Formation energy (no corrections) = -1.30 eV/f.u.
! Volume = 20.73 A^3/atom

(6)
! BaLi2GaF8 (PBE, relaxed); values from VASP
&SYSTEM
  ibrav = 0, nat = 12, ntyp = 4
/
ATOMIC_SPECIES
Ba 137.33 Ba.upf
Li 6.94 Li.upf
Ga 69.72 Ga.upf
F 19.00 F.upf
ATOMIC_POSITIONS crystal
Ba 0.5000 0.5000 0.5000
Li 0.2818 0.2818 0.1545
Li 0.7182 0.7182 0.8455
Ga 0.0000 0.0000 0.0000
F 0.1808 0.1808 0.4576
F 0.6531 0.2674 0.1606
F 0.8192 0.8192 0.5424
F 0.9189 0.6531 0.1606
F 0.0811 0.3469 0.8394
F 0.2674 0.9189 0.1606
F 0.7326 0.0811 0.8394
F 0.3469 0.7326 0.8394
CELL_PARAMETERS angstrom
-0.7264 -4.9947 -1.0680
2.2798 -2.1158 -4.1161
5.8266 -3.9440 2.0214
! Formation energy (no corrections) = -33.54 eV/f.u.
! Volume = 12.85 A^3/atom

no.,total moment (μB per cell)
1,0.0
2,0.0
3,24.9
4,0.0
5,0.0
6,1.1